# Ba3NbMo, relaxed, DFT GGA-PBEsol
# space-group type = Pm-3m
# formation enthalpy at 0 K = 1.651 eV/atom
data_Ba3NbMo
_chemical_formula_sum 'Ba3 Nb1 Mo1'
_symmetry_space_group_name_H-M 'P 1'
_symmetry_Int_Tables_number 1
_cell_length_a 5.865
_cell_length_b 5.865
_cell_length_c 5.865
_cell_angle_alpha 90.00
_cell_angle_beta 90.00
_cell_angle_gamma 90.00
loop_
_symmetry_equiv_pos_as_xyz
'x,y,z'
loop_
_atom_site_label
_atom_site_fract_x
_atom_site_fract_y
_atom_site_fract_z
Mo1 0.500 0.500 0.500
Ba1 0.000 0.500 0.000
Ba2 0.000 0.000 0.500
Ba3 0.500 0.000 0.000
Nb1 0.000 0.000 0.000